First-principles (PBE) data for AsPtBr4 after structural relaxation, as listed in the Alexandria database.

E_form (uncorrected)	1.310	eV/atom

Cell: 5.9947 5.9947 5.9947 Å, 60.00 60.00 60.00°
With the nearest neighbours (Å) after each atom.
Element x y z (fractional)
As 0.0000 0.0000 0.0000  12 Br 3.52, 4 Pt 3.67
Pt 0.2500 0.2500 0.2500  12 Br 3.51, 4 As 3.67
Br 0.1278 0.6241 0.6241  6 Br 2.97-3.02
Br 0.6241 0.1278 0.6241  6 Br 2.97-3.02
Br 0.6241 0.6241 0.1278  6 Br 2.97-3.02
Br 0.6241 0.6241 0.6241  6 Br 2.97-3.02



First-principles (PBE) data for AsPtBr2 after structural relaxation, as listed in the Alexandria database.

ΔE to the lowest computed polymorph	879	meV per atom
E_form (uncorrected)	0.544	eV/atom

Cell: 9.1847 9.1847 9.1847 Å, 150.24 150.24 42.59°
With the nearest neighbours (Å) after each atom.
Element x y z (fractional)
As 0.0000 0.0000 0.0000  4 Br 2.74
As 0.7500 0.2500 0.5000  4 Br 2.74
Pt 0.2500 0.7500 0.5000  4 Br 2.69
Pt 0.5000 0.5000 0.0000  4 Br 2.69
Br 0.1365 0.6250 0.0115  2 Pt 2.69, 2 As 2.74
Br 0.3750 0.3865 0.5115  2 Pt 2.69, 2 As 2.74
Br 0.6135 0.1250 0.9885  2 Pt 2.69, 2 As 2.74
Br 0.8750 0.8635 0.4885  2 Pt 2.69, 2 As 2.74



First-principles (PBE) data for As2PtBr after structural relaxation, as listed in the Alexandria database.

ΔE to the lowest computed polymorph	871	meV per atom
E_form (uncorrected)	0.575	eV/atom

Cell: 4.7599 4.7599 4.7599 Å, 119.92 119.92 90.14°
With the nearest neighbours (Å) after each atom.
Element x y z (fractional)
As 0.0000 0.0000 0.0000  4 As 2.92, 4 Br 2.92
As 0.7500 0.2500 0.5000  4 As 2.92, 4 Pt 2.92
Pt 0.5000 0.5000 0.0000  4 As 2.92, 4 Br 2.92
Br 0.2500 0.7500 0.5000  4 As 2.92, 4 Pt 2.92



> What is the E_form (uncorrected) in the second record?

0.544 eV/atom



> What is the E_form (uncorrected) in the second record?

0.544 eV/atom



> Look up the E_form (uncorrected) of the third one.

0.575 eV/atom



> Number 1 is which compound?

AsPtBr4